Run A
Crystalline AsIr2Br at its relaxed geometry. Source: the Alexandria database, functional GGA-PBEsol.

abc: 6.042 6.042 9.062
angles: 90.00 90.00 90.00
Space group I-42d (No. 122)
Inequivalent atoms, fractional coordinates:
As: 0.000 0.000 0.000
Ir: 0.229 0.750 0.125
Br: 0.000 0.000 0.500

Total moment   0.00 μB per formula unit

Run B
Crystalline AsIr2Br at its relaxed geometry. Source: the Alexandria database, functional GGA-PBEsol.

abc: 2.856 4.318 10.839
angles: 90.00 90.00 90.00
Space group Imm2 (No. 44)
Inequivalent atoms, fractional coordinates:
As: 0.000 0.000 0.000
Ir: 0.000 0.000 0.576
Ir: 0.000 0.500 0.296
Br: 0.000 0.500 0.787

Total moment   0.00 μB per formula unit

Run C
Crystalline AsIr2Br at its relaxed geometry. Source: the Alexandria database, functional GGA-PBEsol.

abc: 2.912 2.912 8.361
angles: 90.00 90.00 90.00
Space group P4mm (No. 99)
Inequivalent atoms, fractional coordinates:
As: 0.000 0.000 0.000
Ir: 0.000 0.000 0.594
Ir: 0.500 0.500 0.812
Br: 0.500 0.500 0.368

Total moment   0.00 μB per formula unit

We find run C to be the most stable, with the next structure 197 meV per atom higher.

Run A
Crystalline AsIr2Br at its relaxed geometry. Source: the Alexandria database, functional GGA-PBEsol.

abc: 3.0715 3.0715 23.9457
angles: 90.00 90.00 120.00
Space group R-3m (No. 166, hexagonal axes)
Inequivalent atoms, fractional coordinates:
As: 0.0000 0.0000 0.0000
Ir: 0.0000 0.0000 0.2610
Br: 0.0000 0.0000 0.5000

Total moment   0.00 μB per formula unit

Run B
Crystalline AsIr2Br at its relaxed geometry. Source: the Alexandria database, functional GGA-PBEsol.

abc: 6.385 6.385 6.385
angles: 90.00 90.00 90.00
Space group F-43m (No. 216)
Inequivalent atoms, fractional coordinates:
As: 0.000 0.000 0.000
Ir: 0.000 0.000 0.500
Ir: 0.250 0.250 0.250
Br: 0.250 0.250 0.750

Total moment   0.00 μB per formula unit

We find run A to be the most stable, with the next structure 513 meV per atom higher.

Run A
Crystalline KAs2Br at its relaxed geometry. Source: the Alexandria database, functional GGA-PBEsol.

abc: 5.636 5.688 13.583
angles: 90.00 90.00 90.00
Space group Fmmm (No. 69)
Inequivalent atoms, fractional coordinates:
K: 0.000 0.000 0.000
As: 0.000 0.250 0.250
Br: 0.000 0.000 0.500

Total moment   0.00 μB per formula unit

Run B
Crystalline KAs2Br at its relaxed geometry. Source: the Alexandria database, functional GGA-PBEsol.

abc: 3.200 3.200 9.041
angles: 90.00 90.00 90.00
Space group P4/mmm (No. 123)
Inequivalent atoms, fractional coordinates:
K: 0.000 0.000 0.000
As: 0.500 0.500 0.279
Br: 0.000 0.000 0.500

Total moment   0.00 μB per formula unit

We find run A to be the most stable, with the next structure 585 meV per atom higher.

Run A
Crystalline LaMoAs2Br at its relaxed geometry. Source: the Alexandria database, functional GGA-PBEsol.

abc: 5.589 5.589 5.525
angles: 90.00 90.00 90.00
Space group P4/mmm (No. 123)
Inequivalent atoms, fractional coordinates:
La: 0.000 0.000 0.000
Mo: 0.500 0.500 0.500
As: 0.000 0.500 0.000
Br: 0.000 0.000 0.500

Total moment   3.78 μB per formula unit

Run B
Crystalline LaMoAs2Br at its relaxed geometry. Source: the Alexandria database, functional GGA-PBEsol.

abc: 4.800 4.800 5.159
angles: 90.00 90.00 90.00
Space group P4/mmm (No. 123)
Inequivalent atoms, fractional coordinates:
La: 0.000 0.000 0.000
Mo: 0.500 0.500 0.500
As: 0.000 0.500 0.500
Br: 0.500 0.500 0.000

Total moment   0.00 μB per formula unit

We find run B to be the most stable, with the next structure 1334 meV per atom higher.

Run A
Crystalline LaAsRuBr2 at its relaxed geometry. Source: the Alexandria database, functional GGA-PBEsol.

abc: 5.028 5.028 5.959
angles: 90.00 90.00 90.00
Space group P4/mmm (No. 123)
Inequivalent atoms, fractional coordinates:
La: 0.000 0.000 0.000
As: 0.000 0.000 0.500
Ru: 0.500 0.500 0.000
Br: 0.000 0.500 0.500

Total moment   2.46 μB per formula unit

Run B
Crystalline LaAsRuBr2 at its relaxed geometry. Source: the Alexandria database, functional GGA-PBEsol.

abc: 4.842 4.842 5.356
angles: 90.00 90.00 90.00
Space group P4/mmm (No. 123)
Inequivalent atoms, fractional coordinates:
La: 0.000 0.000 0.000
As: 0.500 0.500 0.000
Ru: 0.000 0.000 0.500
Br: 0.000 0.500 0.500

Total moment   0.00 μB per formula unit

We find run B to be the most stable, with the next structure 800 meV per atom higher.

Run A
Crystalline LaYAs2Br at its relaxed geometry. Source: the Alexandria database, functional GGA-PBEsol.

abc: 5.560 5.560 5.411
angles: 90.00 90.00 90.00
Space group P4/mmm (No. 123)
Inequivalent atoms, fractional coordinates:
La: 0.000 0.000 0.000
Y: 0.500 0.500 0.500
As: 0.000 0.500 0.000
Br: 0.000 0.000 0.500

Total moment   0.00 μB per formula unit

Run B
Crystalline LaYAs2Br at its relaxed geometry. Source: the Alexandria database, functional GGA-PBEsol.

abc: 5.329 5.329 5.224
angles: 90.00 90.00 90.00
Space group P4/mmm (No. 123)
Inequivalent atoms, fractional coordinates:
La: 0.000 0.000 0.000
Y: 0.500 0.500 0.500
As: 0.000 0.500 0.500
Br: 0.500 0.500 0.000

Total moment   0.01 μB per formula unit

We find run B to be the most stable, with the next structure 527 meV per atom higher.

Run A
Crystalline Li2AsBr at its relaxed geometry. Source: the Alexandria database, functional GGA-PBEsol.

abc: 3.100 4.337 5.667
angles: 90.00 90.00 90.00
Space group Pmmm (No. 47)
Inequivalent atoms, fractional coordinates:
Li: 0.000 0.000 0.000
Li: 0.000 0.500 0.500
As: 0.500 0.000 0.500
Br: 0.500 0.500 0.000

Total moment   0.00 μB per formula unit

Run B
Crystalline Li2AsBr at its relaxed geometry. Source: the Alexandria database, functional GGA-PBEsol.

abc: 4.365 4.365 7.648
angles: 90.00 90.00 90.00
Space group I4/mmm (No. 139)
Inequivalent atoms, fractional coordinates:
Li: 0.000 0.500 0.250
As: 0.000 0.000 0.000
Br: 0.000 0.000 0.500

Total moment   0.00 μB per formula unit

We find run A to be the most stable, with the next structure 111 meV per atom higher.

Run A
Crystalline LiAsBr2 at its relaxed geometry. Source: the Alexandria database, functional GGA-PBEsol.

abc: 3.496 6.200 8.193
angles: 90.00 90.00 90.00
Space group Cmmm (No. 65)
Inequivalent atoms, fractional coordinates:
Li: 0.000 0.000 0.000
As: 0.000 0.000 0.500
Br: 0.000 0.500 0.221

Total moment   0.00 μB per formula unit

Run B
Crystalline LiAsBr2 at its relaxed geometry. Source: the Alexandria database, functional GGA-PBEsol.

abc: 3.328 3.328 7.416
angles: 90.00 90.00 90.00
Space group P4/mmm (No. 123)
Inequivalent atoms, fractional coordinates:
Li: 0.000 0.000 0.000
As: 0.000 0.000 0.500
Br: 0.500 0.500 0.219

Total moment   0.00 μB per formula unit

Run C
Crystalline LiAsBr2 at its relaxed geometry. Source: the Alexandria database, functional GGA-PBEsol.

abc: 9.001 3.412 6.221
angles: 90.00 101.66 90.00
Space group C2/m (No. 12)
Inequivalent atoms, fractional coordinates:
Li: 0.000 0.000 0.000
As: 0.000 0.500 0.500
Br: 0.180 0.500 0.227

Total moment   0.00 μB per formula unit

We find run C to be the most stable, with the next structure 133 meV per atom higher.

Run A
Crystalline LiAs2Br at its relaxed geometry. Source: the Alexandria database, functional GGA-PBEsol.

abc: 5.118 5.118 2.965
angles: 90.00 90.00 90.00
Space group P4/mmm (No. 123)
Inequivalent atoms, fractional coordinates:
Li: 0.000 0.000 0.000
As: 0.000 0.500 0.500
Br: 0.500 0.500 0.000

Total moment   0.00 μB per formula unit

Run B
Crystalline LiAs2Br at its relaxed geometry. Source: the Alexandria database, functional GGA-PBEsol.

abc: 3.486 3.486 7.511
angles: 90.00 90.00 90.00
Space group P4mm (No. 99)
Inequivalent atoms, fractional coordinates:
Li: 0.000 0.000 0.000
As: 0.000 0.000 0.625
As: 0.500 0.500 0.503
Br: 0.500 0.500 0.059

Total moment   0.00 μB per formula unit

We find run B to be the most stable, with the next structure 635 meV per atom higher.

Run A
Crystalline MgAsBr2 at its relaxed geometry. Source: the Alexandria database, functional GGA-PBEsol.

abc: 3.4458 3.4458 28.5309
angles: 90.00 90.00 120.00
Space group R-3m (No. 166, hexagonal axes)
Inequivalent atoms, fractional coordinates:
Mg: 0.0000 0.0000 0.0000
As: 0.0000 0.0000 0.5000
Br: 0.0000 0.0000 0.0903

Total moment   0.00 μB per formula unit

Run B
Crystalline MgAsBr2 at its relaxed geometry. Source: the Alexandria database, functional GGA-PBEsol.

abc: 3.5447 3.5447 29.7510
angles: 90.00 90.00 120.00
Space group R-3m (No. 166, hexagonal axes)
Inequivalent atoms, fractional coordinates:
Mg: 0.0000 0.0000 0.0000
As: 0.0000 0.0000 0.5000
Br: 0.0000 0.0000 0.2792

Total moment   1.09 μB per formula unit

Run C
Crystalline MgAsBr2 at its relaxed geometry. Source: the Alexandria database, functional GGA-PBEsol.

abc: 3.689 5.705 10.307
angles: 90.00 90.00 90.00
Space group Cmmm (No. 65)
Inequivalent atoms, fractional coordinates:
Mg: 0.000 0.000 0.000
As: 0.000 0.000 0.500
Br: 0.000 0.500 0.169

Total moment   0.88 μB per formula unit

We find run B to be the most stable, with the next structure 178 meV per atom higher.

Run A
Crystalline MgAs2Br at its relaxed geometry. Source: the Alexandria database, functional GGA-PBEsol.

abc: 3.6833 3.6833 24.9281
angles: 90.00 90.00 120.00
Space group R3m (No. 160, hexagonal axes)
Inequivalent atoms, fractional coordinates:
Mg: 0.0000 0.0000 0.0000
As: 0.0000 0.0000 0.2555
As: 0.0000 0.0000 0.5326
Br: 0.0000 0.0000 0.7286

Total moment   0.00 μB per formula unit

Run B
Crystalline MgAs2Br at its relaxed geometry. Source: the Alexandria database, functional GGA-PBEsol.

abc: 3.753 5.081 5.081
angles: 90.00 107.69 90.00
Space group P2/m (No. 10)
Inequivalent atoms, fractional coordinates:
Mg: 0.000 0.000 0.000
As: 0.186 0.500 0.831
Br: 0.500 0.000 0.500

Total moment   0.00 μB per formula unit

We find run A to be the most stable, with the next structure 99 meV per atom higher.

Run A
Crystalline Mg2AsBr at its relaxed geometry. Source: the Alexandria database, functional GGA-PBEsol.

abc: 4.111 6.018 7.429
angles: 90.00 90.00 90.00
Space group Cmmm (No. 65)
Inequivalent atoms, fractional coordinates:
Mg: 0.000 0.000 0.212
As: 0.000 0.500 0.000
Br: 0.000 0.500 0.500

Total moment   0.00 μB per formula unit

Run B
Crystalline Mg2AsBr at its relaxed geometry. Source: the Alexandria database, functional GGA-PBEsol.

abc: 3.426 3.426 7.248
angles: 90.00 90.00 90.00
Space group P4/mmm (No. 123)
Inequivalent atoms, fractional coordinates:
Mg: 0.000 0.000 0.210
As: 0.500 0.500 0.000
Br: 0.500 0.500 0.500

Total moment   0.00 μB per formula unit

We find run A to be the most stable, with the next structure 16 meV per atom higher.

Run A
Crystalline MgNbAsBr2 at its relaxed geometry. Source: the Alexandria database, functional GGA-PBEsol.

abc: 4.831 4.831 5.286
angles: 90.00 90.00 90.00
Space group P4/mmm (No. 123)
Inequivalent atoms, fractional coordinates:
Mg: 0.000 0.000 0.000
Nb: 0.500 0.500 0.500
As: 0.000 0.000 0.500
Br: 0.000 0.500 0.000

Total moment   2.04 μB per formula unit

Run B
Crystalline MgNbAsBr2 at its relaxed geometry. Source: the Alexandria database, functional GGA-PBEsol.

abc: 5.103 5.103 5.084
angles: 90.00 90.00 90.00
Space group P4/mmm (No. 123)
Inequivalent atoms, fractional coordinates:
Mg: 0.000 0.000 0.000
Nb: 0.500 0.500 0.500
As: 0.500 0.500 0.000
Br: 0.000 0.500 0.500

Total moment   0.00 μB per formula unit

We find run B to be the most stable, with the next structure 540 meV per atom higher.